Entry 1:
First-principles (PBE) data for a geometry-optimized ZrCdMo3 structure, as listed in the Alexandria database.

Output
- Crystal system: cubic
- Space-group type: Pm-3m, No. 221
- DFT formation energy: 1.890 eV/atom
- Distance to the lowest polymorph of the same formula: 0.0 meV per atom

a b c (Å): 4.8375 4.8375 4.8375
angles (deg): 90.00 90.00 90.00
Closest atoms and distances in Å follow each position.
Positions (direct):
Mo: 0.0000 0.5000 0.0000  2 Zr 2.42
Mo: 0.0000 0.0000 0.5000  2 Zr 2.42
Mo: 0.5000 0.0000 0.0000  2 Zr 2.42
Zr: 0.0000 0.0000 0.0000  6 Mo 2.42
Cd: 0.5000 0.5000 0.5000  12 Mo 3.42

***

Entry 2:
First-principles (PBE) data for a geometry-optimized ZrCd2Mo structure, as listed in the Alexandria database.

Output
- Crystal system: monoclinic
- Space-group type: P2/m, No. 10
- DFT formation energy: 0.171 eV/atom
- Distance to the lowest polymorph of the same formula: 48.1 meV per atom

a b c (Å): 4.6797 2.9074 6.4037
angles (deg): 62.87 90.00 90.00
Closest atoms and distances in Å follow each position.
Positions (direct):
Cd: 0.0000 0.9914 0.0087  4 Cd 2.75-2.95, 2 Mo 3.08
Cd: 0.0000 0.5086 0.4913  4 Cd 2.75-2.95, 2 Mo 3.08
Mo: 0.5000 0.2500 0.2500  2 Zr 2.85, 2 Mo 2.91, 8 Cd 3.08
Zr: 0.5000 0.7500 0.7500  2 Mo 2.85, 2 Zr 2.91, 8 Cd 3.12-3.13

***

Entry 3:
First-principles (PBE) data for a geometry-optimized ZrCdMo structure, as listed in the Alexandria database.

Output
- Crystal system: orthorhombic
- Space-group type: Imm2, No. 44
- DFT formation energy: 0.227 eV/atom
- Distance to the lowest polymorph of the same formula: 50.0 meV per atom

a b c (Å): 5.4017 5.4017 5.4017
angles (deg): 144.25 139.79 54.88
Closest atoms and distances in Å follow each position.
Positions (direct):
Cd: 0.9929 0.9929 0.0000  5 Mo 2.95-3.22, 5 Zr 3.01-3.06
Mo: 0.3284 0.3284 0.0000  4 Zr 2.87, 5 Cd 2.95-3.22
Zr: 0.6787 0.6787 0.0000  4 Mo 2.87, 5 Cd 3.01-3.06

***

Entry 4:
First-principles (PBE) data for a geometry-optimized ZrCdMo structure, as listed in the Alexandria database.

Output
- Crystal system: trigonal
- Space-group type: P3m1, No. 156
- DFT formation energy: 0.230 eV/atom
- Distance to the lowest polymorph of the same formula: 52.9 meV per atom

a b c (Å): 4.9840 4.9840 2.6948
angles (deg): 90.00 90.00 120.00
Closest atoms and distances in Å follow each position.
Positions (direct):
Cd: 0.0000 0.0000 0.0346  2 Cd 2.69, 3 Mo 2.97
Mo: 0.6667 0.3333 0.3066  2 Mo 2.69, 3 Cd 2.97
Zr: 0.3333 0.6667 0.6588  2 Zr 2.69

***

Entry 5:
First-principles (PBE) data for a geometry-optimized ZrCd2Mo structure, as listed in the Alexandria database.

Output
- Crystal system: orthorhombic
- Space-group type: Imm2, No. 44
- DFT formation energy: 0.238 eV/atom
- Distance to the lowest polymorph of the same formula: 115.8 meV per atom

a b c (Å): 5.6731 5.6731 5.6731
angles (deg): 146.08 126.72 64.67
Closest atoms and distances in Å follow each position.
Positions (direct):
Cd: 0.9949 0.9949 0.0000  2 Cd 2.94, 4 Mo 3.03, 2 Zr 3.12
Cd: 0.7413 0.2413 0.5000  2 Mo 2.90, 2 Cd 2.94, 4 Zr 3.05
Mo: 0.4926 0.4926 0.0000  2 Zr 2.69, 2 Cd 2.90
Zr: 0.2712 0.7712 0.5000  2 Mo 2.69

***

Entry 6:
First-principles (PBE) data for a geometry-optimized ZrCd2Mo structure, as listed in the Alexandria database.

Output
- Crystal system: tetragonal
- Space-group type: P4/mmm, No. 123
- DFT formation energy: 0.148 eV/atom
- Distance to the lowest polymorph of the same formula: 24.9 meV per atom

a b c (Å): 4.0726 4.0726 4.6996
angles (deg): 90.00 90.00 90.00
Closest atoms and distances in Å follow each position.
Positions (direct):
Cd: 0.0000 0.0000 0.0000  4 Cd 2.88, 4 Zr 3.11, 4 Mo 3.11
Cd: 0.5000 0.5000 0.0000  4 Cd 2.88, 4 Mo 3.11, 4 Zr 3.11
Mo: 0.5000 0.0000 0.5000  4 Zr 2.88, 8 Cd 3.11
Zr: 0.0000 0.5000 0.5000  4 Mo 2.88, 8 Cd 3.11

***

Entry 7:
First-principles (PBE) data for a geometry-optimized ZrCd2Mo structure, as listed in the Alexandria database.

Output
- Crystal system: tetragonal
- Space-group type: I-42d, No. 122
- DFT formation energy: 0.548 eV/atom
- Distance to the lowest polymorph of the same formula: 425.7 meV per atom

a b c (Å): 3.9887 3.9887 11.1197
angles (deg): 79.67 79.67 90.00
Closest atoms and distances in Å follow each position.
Positions (direct):
Mo: 0.0000 0.0000 0.0000  4 Zr 2.82, 4 Cd 3.02
Mo: 0.7500 0.2500 0.5000  4 Zr 2.82, 4 Cd 3.02
Zr: 0.5000 0.5000 0.0000  4 Mo 2.82, 4 Cd 3.05
Zr: 0.2500 0.7500 0.5000  4 Mo 2.82, 4 Cd 3.05
Cd: 0.6355 0.1250 0.2500  4 Cd 2.76-2.88, 2 Mo 3.02, 2 Zr 3.05
Cd: 0.1145 0.6250 0.2500  4 Cd 2.76-2.88, 2 Mo 3.02, 2 Zr 3.05
Cd: 0.3750 0.3645 0.7500  4 Cd 2.76-2.88, 2 Mo 3.02, 2 Zr 3.05
Cd: 0.8750 0.8855 0.7500  4 Cd 2.76-2.88, 2 Mo 3.02, 2 Zr 3.05

***

Entry 8:
First-principles (PBE) data for a geometry-optimized ZrCdMo structure, as listed in the Alexandria database.

Output
- Crystal system: orthorhombic
- Space-group type: Fmm2, No. 42
- DFT formation energy: 0.177 eV/atom
- Distance to the lowest polymorph of the same formula: 0.0 meV per atom

a b c (Å): 7.5058 7.3497 2.9230
angles (deg): 81.67 75.67 22.66
Closest atoms and distances in Å follow each position.
Positions (direct):
Cd: 0.9934 0.9934 0.0066  4 Cd 2.92, 2 Mo 2.93, 2 Zr 3.16
Mo: 0.3295 0.3295 0.6705  2 Zr 2.80, 4 Mo 2.92, 2 Cd 2.93
Zr: 0.6770 0.6770 0.3230  2 Mo 2.80, 4 Zr 2.92